Model A:
Density functional theory data (PBE) for a geometry-optimized Ca2TlAu structure.

The structure in POSCAR format:
```
Ca2TlAu
1.0
0.000 3.648 3.648
3.648 0.000 3.648
3.648 3.648 0.000
Ca Tl Au
2 1 1
Direct
0.000 0.000 0.000 Ca
0.250 0.250 0.250 Ca
0.750 0.750 0.750 Tl
0.500 0.500 0.500 Au
```

* theoretical density: 8.23 g/cm3
* space-group type: F-43m, No. 216

---

Model B:
Density functional theory data (PBE) for a geometry-optimized Ca2TlAu structure.

The structure in POSCAR format:
```
Ca2TlAu
1.0
4.234 0.000 0.000
0.000 4.234 0.000
0.000 0.000 6.534
Ca Tl Au
2 1 1
Direct
0.000 0.000 0.000 Ca
0.500 0.500 0.367 Ca
0.000 0.000 0.529 Tl
0.500 0.500 0.882 Au
```

* theoretical density: 6.83 g/cm3
* space-group type: P4mm, No. 99

---

Model C:
Density functional theory data (PBE) for a geometry-optimized Ca2TlAu structure.

The structure in POSCAR format:
```
Ca2TlAu
1.0
0.000 3.755 3.755
3.755 0.000 3.755
3.755 3.755 0.000
Ca Tl Au
2 1 1
Direct
0.250 0.250 0.250 Ca
0.750 0.750 0.750 Ca
0.000 0.000 0.000 Tl
0.500 0.500 0.500 Au
```

* theoretical density: 7.55 g/cm3
* space-group type: Fm-3m, No. 225

---

Short version: model A is the least stable of them.

---

Model A:
Density functional theory data (PBE) for a geometry-optimized Ca2TlAu3 structure.

The structure in POSCAR format:
```
Ca2TlAu3
1.0
0.000 4.853 8.386
3.553 0.000 8.386
3.553 4.853 0.000
Ca Tl Au
4 2 6
Direct
0.242 0.758 0.758 Ca
0.250 0.250 0.250 Ca
0.750 0.750 0.750 Ca
0.758 0.242 0.242 Ca
0.334 0.334 0.666 Tl
0.666 0.666 0.334 Tl
0.165 0.670 0.330 Au
0.166 0.166 0.834 Au
0.330 0.835 0.165 Au
0.670 0.165 0.835 Au
0.834 0.834 0.166 Au
0.835 0.330 0.670 Au
```

* theoretical density: 10.05 g/cm3
* space-group type: Fmmm, No. 69

---

Model B:
Density functional theory data (PBE) for a geometry-optimized Ca2TlAu3 structure.

The structure in POSCAR format:
```
Ca2TlAu3
1.0
5.093 0.000 0.000
-2.546 4.410 0.000
0.000 0.000 12.666
Ca Tl Au
4 2 6
Direct
0.000 0.000 0.000 Ca
0.000 0.000 0.500 Ca
0.333 0.667 0.181 Ca
0.667 0.333 0.819 Ca
0.333 0.667 0.666 Tl
0.667 0.333 0.334 Tl
0.000 0.000 0.244 Au
0.000 0.000 0.756 Au
0.333 0.667 0.425 Au
0.333 0.667 0.936 Au
0.667 0.333 0.064 Au
0.667 0.333 0.575 Au
```

* theoretical density: 10.22 g/cm3
* space-group type: P-3m1, No. 164

---

Short version: model A is the least stable of them.

---

Model A:
Density functional theory data (PBE) for a geometry-optimized CaTlAu6 structure.

The structure in POSCAR format:
```
CaTlAu6
1.0
4.802 0.000 0.000
0.000 3.533 4.825
0.000 -3.533 4.825
Ca Tl Au
1 1 6
Direct
0.000 0.000 0.000 Ca
0.500 0.743 0.743 Tl
0.000 0.076 0.485 Au
0.000 0.485 0.076 Au
0.000 0.557 0.557 Au
0.500 0.194 0.194 Au
0.500 0.254 0.678 Au
0.500 0.678 0.254 Au
```

* theoretical density: 14.46 g/cm3
* space-group type: Amm2, No. 38

---

Model B:
Density functional theory data (PBE) for a geometry-optimized CaTlAu6 structure.

The structure in POSCAR format:
```
CaTlAu6
1.0
5.498 0.000 0.000
0.000 5.498 0.000
0.000 0.000 5.498
Ca Tl Au
1 1 6
Direct
0.000 0.000 0.000 Ca
0.500 0.500 0.500 Tl
0.000 0.249 0.500 Au
0.000 0.751 0.500 Au
0.249 0.500 0.000 Au
0.500 0.000 0.249 Au
0.500 0.000 0.751 Au
0.751 0.500 0.000 Au
```

* theoretical density: 14.25 g/cm3
* space-group type: Pm-3, No. 200

---

Short version: model B is the least stable of them.

---

Model A:
Density functional theory data (PBE) for a geometry-optimized Ca3TlAu structure.

The structure in POSCAR format:
```
Ca3TlAu
1.0
4.916 -3.595 0.000
4.916 3.595 0.000
-4.878 0.000 8.395
Ca Tl Au
6 2 2
Direct
0.084 0.084 0.292 Ca
0.293 0.293 0.707 Ca
0.301 0.301 0.102 Ca
0.699 0.699 0.898 Ca
0.707 0.707 0.293 Ca
0.916 0.916 0.708 Ca
0.294 0.706 0.500 Tl
0.706 0.294 0.500 Tl
0.251 0.749 0.000 Au
0.749 0.251 0.000 Au
```

* theoretical density: 5.84 g/cm3
* space-group type: C2/m, No. 12

---

Model B:
Density functional theory data (PBE) for a geometry-optimized Ca3TlAu structure.

The structure in POSCAR format:
```
Ca3TlAu
1.0
5.681 0.000 0.000
0.000 5.681 0.000
0.000 0.000 5.681
Ca Tl Au
3 1 1
Direct
0.000 0.000 0.500 Ca
0.000 0.500 0.000 Ca
0.500 0.000 0.000 Ca
0.500 0.500 0.500 Tl
0.000 0.000 0.000 Au
```

* theoretical density: 4.72 g/cm3
* space-group type: Pm-3m, No. 221

---

Short version: model B is the least stable of them.

---

Model A:
Density functional theory data (PBE) for a geometry-optimized Ca2Tl2Au structure.

The structure in POSCAR format:
```
Ca2Tl2Au
1.0
7.954 0.000 0.000
0.000 7.954 0.000
0.000 0.000 4.847
Ca Tl Au
4 4 2
Direct
0.163 0.337 0.000 Ca
0.337 0.837 0.000 Ca
0.663 0.163 0.000 Ca
0.837 0.663 0.000 Ca
0.146 0.646 0.500 Tl
0.354 0.146 0.500 Tl
0.646 0.854 0.500 Tl
0.854 0.354 0.500 Tl
0.000 0.000 0.000 Au
0.500 0.500 0.000 Au
```

* theoretical density: 7.43 g/cm3
* space-group type: P4/mbm, No. 127

---

Model B:
Density functional theory data (PBE) for a geometry-optimized Ca2Tl2Au structure.

The structure in POSCAR format:
```
Ca2Tl2Au
1.0
5.885 -2.036 0.000
5.885 2.036 0.000
-4.404 0.000 11.670
Ca Tl Au
4 4 2
Direct
0.011 0.011 0.178 Ca
0.185 0.185 0.620 Ca
0.815 0.815 0.380 Ca
0.989 0.989 0.822 Ca
0.343 0.343 0.954 Tl
0.449 0.449 0.601 Tl
0.551 0.551 0.399 Tl
0.657 0.657 0.046 Tl
0.316 0.316 0.196 Au
0.684 0.684 0.804 Au
```

* theoretical density: 8.14 g/cm3
* space-group type: C2/m, No. 12

---

Short version: model A is the least stable of them.

---

Model A:
Density functional theory data (PBE) for a geometry-optimized Ca2Tl2Au structure.

The structure in POSCAR format:
```
Ca2Tl2Au
1.0
-2.083 2.083 8.946
2.083 -2.083 8.946
2.083 2.083 -8.946
Ca Tl Au
2 2 1
Direct
0.093 0.093 0.000 Ca
0.907 0.907 0.000 Ca
0.250 0.750 0.500 Tl
0.750 0.250 0.500 Tl
0.500 0.500 0.000 Au
```

* theoretical density: 7.33 g/cm3
* space-group type: I4/mmm, No. 139

---

Model B:
Density functional theory data (PBE) for a geometry-optimized Ca2Tl2Au structure.

The structure in POSCAR format:
```
Ca2Tl2Au
1.0
1.850 -10.630 0.000
1.850 10.630 0.000
0.000 0.000 3.568
Ca Tl Au
2 2 1
Direct
0.084 0.916 0.000 Ca
0.916 0.084 0.000 Ca
0.310 0.690 0.500 Tl
0.690 0.310 0.500 Tl
0.500 0.500 0.500 Au
```

* theoretical density: 8.12 g/cm3
* space-group type: Cmmm, No. 65

---

Model C:
Density functional theory data (PBE) for a geometry-optimized Ca2Tl2Au structure.

The structure in POSCAR format:
```
Ca2Tl2Au
1.0
7.764 0.000 0.000
0.000 7.764 0.000
0.000 0.000 4.648
Ca Tl Au
4 4 2
Direct
0.168 0.332 0.000 Ca
0.332 0.832 0.000 Ca
0.668 0.168 0.000 Ca
0.832 0.668 0.000 Ca
0.139 0.639 0.500 Tl
0.361 0.139 0.500 Tl
0.639 0.861 0.500 Tl
0.861 0.361 0.500 Tl
0.000 0.000 0.500 Au
0.500 0.500 0.500 Au
```

* theoretical density: 8.13 g/cm3
* space-group type: P4/mbm, No. 127

---

Short version: model A is the least stable of them.

---

Model A:
Density functional theory data (PBE) for a geometry-optimized CaTm2Au structure.

The structure in POSCAR format:
```
CaTm2Au
1.0
3.580 0.000 0.000
0.000 3.580 0.000
0.000 0.000 9.221
Ca Tm Au
1 2 1
Direct
0.000 0.000 0.000 Ca
0.500 0.500 0.316 Tm
0.500 0.500 0.684 Tm
0.000 0.000 0.500 Au
```

* theoretical density: 8.08 g/cm3
* space-group type: P4/mmm, No. 123

---

Model B:
Density functional theory data (PBE) for a geometry-optimized CaTm2Au structure.

The structure in POSCAR format:
```
CaTm2Au
1.0
1.910 1.103 9.957
-1.910 1.103 9.957
0.000 -2.206 9.957
Ca Tm Au
1 2 1
Direct
0.000 0.000 0.000 Ca
0.229 0.229 0.229 Tm
0.771 0.771 0.771 Tm
0.500 0.500 0.500 Au
```

* theoretical density: 7.58 g/cm3
* space-group type: R-3m, No. 166

---

Short version: model B is the least stable of them.

---

Model A:
Density functional theory data (PBE) for a geometry-optimized CaTmAu4 structure.

The structure in POSCAR format:
```
CaTmAu4
1.0
4.898 -1.864 0.000
4.898 1.864 0.000
-2.809 0.000 6.972
Ca Tm Au
1 1 4
Direct
0.000 0.000 0.000 Ca
0.000 0.000 0.500 Tm
0.336 0.336 0.180 Au
0.336 0.336 0.660 Au
0.664 0.664 0.340 Au
0.664 0.664 0.820 Au
```

* theoretical density: 13.00 g/cm3
* space-group type: C2/m, No. 12

---

Model B:
Density functional theory data (PBE) for a geometry-optimized CaTmAu4 structure.

The structure in POSCAR format:
```
CaTmAu4
1.0
7.453 0.000 0.000
0.000 1.906 4.741
0.000 -1.906 4.741
Ca Tm Au
1 1 4
Direct
0.000 0.000 0.000 Ca
0.500 0.123 0.123 Tm
0.207 0.705 0.705 Au
0.310 0.416 0.416 Au
0.690 0.416 0.416 Au
0.793 0.705 0.705 Au
```

* theoretical density: 12.29 g/cm3
* space-group type: Amm2, No. 38

---

Short version: model B is the least stable of them.